Entry 1
Material: SrLi2Re
Method: DFT, PBE
State: optimized geometry

Computed properties:
theoretical density: 5.6 g/cm³

a b c (Å): 2.8492 3.8765 7.7021
angles (deg): 90.00 90.00 90.00
Sites, in units of the cell vectors:
1 Sr 0.0000 0.0000 0.0000
2 Li 0.0000 0.0000 0.5682
3 Li 0.5000 0.5000 0.3816
4 Re 0.5000 0.5000 0.7300

Entry 2
Material: SrLi2Re
Method: DFT, PBE
State: optimized geometry

Computed properties:
theoretical density: 6.0 g/cm³

a b c (Å): 5.2325 5.2325 5.7761
angles (deg): 94.92 94.92 30.60
Sites, in units of the cell vectors:
1 Sr 0.0000 0.0000 0.0000
2 Li 0.2364 0.2364 0.6776
3 Li 0.7636 0.7636 0.3224
4 Re 0.5000 0.5000 0.5000

Verdict on stability: entry 2 comes out on top.

Entry 1
Material: SrLi2Re
Method: DFT, PBE
State: optimized geometry

Computed properties:
theoretical density: 6.4 g/cm³

a b c (Å): 5.3346 5.3346 2.7579
angles (deg): 90.00 90.00 109.18
Sites, in units of the cell vectors:
1 Sr 0.0000 0.0000 0.0000
2 Li 0.0000 0.5000 0.5000
3 Li 0.5000 0.0000 0.5000
4 Re 0.5000 0.5000 0.0000

Entry 2
Material: SrLi2Re
Method: DFT, PBE
State: optimized geometry

Computed properties:
theoretical density: 4.9 g/cm³

a b c (Å): 10.5663 10.5663 10.5663
angles (deg): 155.99 155.99 34.21
Sites, in units of the cell vectors:
1 Sr 0.0000 0.0000 0.0000
2 Sr 0.7500 0.2500 0.5000
3 Li 0.2169 0.6250 0.0919
4 Li 0.3750 0.4669 0.5919
5 Li 0.5331 0.1250 0.9081
6 Li 0.8750 0.7831 0.4081
7 Re 0.2500 0.7500 0.5000
8 Re 0.5000 0.5000 0.0000

Entry 3
Material: SrLi2Re
Method: DFT, PBE
State: optimized geometry

Computed properties:
theoretical density: 5.4 g/cm³

a b c (Å): 6.5196 6.5196 6.5196
angles (deg): 155.04 129.86 56.81
Sites, in units of the cell vectors:
1 Sr 0.0000 0.0000 0.0000
2 Li 0.2940 0.7940 0.5000
3 Li 0.7060 0.2060 0.5000
4 Re 0.5000 0.5000 0.0000

Entry 4
Material: SrLi2Re
Method: DFT, PBE
State: optimized geometry

Computed properties:
theoretical density: 5.8 g/cm³

a b c (Å): 4.8935 4.8935 4.8935
angles (deg): 60.00 60.00 60.00
Sites, in units of the cell vectors:
1 Sr 0.0000 0.0000 0.0000
2 Li 0.2500 0.2500 0.2500
3 Li 0.7500 0.7500 0.7500
4 Re 0.5000 0.5000 0.5000

Verdict on stability: entry 3 comes out on top.